Record 1
VASP calculation (GGA-PBE) on a relaxed Y2Zn15Pt2 crystal.

```
Y2Zn15Pt2
1.0
6.7974 -0.0001 -0.0001
0.8818 6.7400 -0.0001
0.8818 0.7739 6.6954
Zn Pt Y
15 2 2
Cartesian
5.1096 1.5545 4.3348
5.1000 0.2220 1.9211
6.3567 2.6491 2.3605
0.8818 2.4858 4.7742
0.4409 3.3700 0.0000
5.1096 4.4846 1.0464
5.1000 1.9339 -0.0001
0.4409 0.3870 3.3477
2.5792 0.5519 4.7742
3.3987 0.0000 0.0000
2.5792 4.8060 -0.0001
2.2043 4.8648 4.3348
3.4514 5.9593 2.3605
0.8818 5.0281 1.9211
3.4514 3.0292 5.6488
7.6028 6.6729 5.9459
0.9582 0.8410 0.7494
5.6868 4.9912 4.4475
2.8742 2.5226 2.2478
```

Output
Raw total energy   -50.659 eV/cell
Space-group type   R-3m (166)
DOS(E_F)   0.41 states/eV per atom
Magnetic moment   0.0000 μB per atom
Energy relative to the elements   -33.21 kJ/mol of atoms

Record 2
VASP calculation (GGA-PBE) on a relaxed Y2Zn2Pt crystal.

```
Y2Zn2Pt
1.0
4.0099 0.0000 0.0000
2.0049 5.2550 0.0744
2.0049 0.9183 10.2861
Zn Y Pt
4 4 2
Cartesian
6.0149 4.5090 5.6785
6.0148 1.6900 9.2123
2.0049 4.4833 1.1483
2.0049 1.6643 4.6820
4.0099 3.8475 3.4676
4.0099 2.3258 6.8930
2.0049 1.5008 1.2428
6.0149 4.6725 9.1178
4.0099 5.3841 7.0915
4.0099 0.7892 3.2691
```

Output
Raw total energy   -49.954 eV/cell
Space-group type   C2/m (12)
DOS(E_F)   0.81 states/eV per atom
Relative energy among the computed polymorphs   0 meV/atom
Magnetic moment   0.0000 μB per atom
Energy relative to the elements   -66.77 kJ/mol of atoms

Record 3
VASP calculation (GGA-PBE) on a relaxed YZn2Pt2 crystal.

```
YZn2Pt2
1.0
-2.0170 1.9334 2.6309
2.2904 -1.3658 2.7597
3.9531 5.2383 1.9800
Y Zn Pt
1 2 2
Cartesian
0.0000 0.0000 0.0000
3.1901 2.0781 3.7175
1.0364 3.7278 3.6531
0.9586 1.3508 2.5413
3.2679 4.4551 4.8294
```

Output
Raw total energy   -25.179 eV/cell
Space-group type   I4/mmm (139)
DOS(E_F)   0.48 states/eV per atom
Relative energy among the computed polymorphs   0 meV/atom
Magnetic moment   0.0000 μB per atom
Energy relative to the elements   -78.84 kJ/mol of atoms

Record 4
VASP calculation (GGA-PBE) on a relaxed Y2ZnPt crystal.

```
Y2ZnPt
1.0
-1.8179 0.7764 3.5786
-3.2757 -2.1630 1.1423
2.5095 -5.1635 4.7284
Y Pt Zn
2 1 1
Cartesian
-4.9884 -1.5042 4.7998
-1.3973 -3.1575 4.6458
-0.6460 -1.6375 2.3623
-1.9381 -4.9126 7.0870
```

Output
Raw total energy   -22.789 eV/cell
Space-group type   R-3m (166)
DOS(E_F)   0.74 states/eV per atom
Magnetic moment   0.0000 μB per atom
Energy relative to the elements   -61.41 kJ/mol of atoms

Record 5
VASP calculation (GGA-PBE) on a relaxed Y2ZnPt crystal.

```
Y2ZnPt
1.0
-6.3662 0.0065 -1.4540
-4.1465 -2.2922 -4.4938
-5.0432 -4.1081 -0.5759
Zn Pt Y
1 1 2
Cartesian
-7.0841 -2.9117 -2.9709
-12.3712 -5.0848 -5.1882
-0.5209 -0.2141 -0.2185
-3.3577 -1.3801 -1.4081
```

Output
Raw total energy   -22.661 eV/cell
Space-group type   R3m (160)
DOS(E_F)   1.09 states/eV per atom
Magnetic moment   0.1254 μB per atom
Energy relative to the elements   -58.32 kJ/mol of atoms

Record 6
VASP calculation (GGA-PBE) on a relaxed YZn2Pt crystal.

```
YZn2Pt
1.0
-0.9033 2.5251 -2.0532
-3.2513 -0.7946 0.4531
-0.2793 4.0608 5.1171
Y Zn Pt
1 2 1
Cartesian
-2.2816 3.8350 2.9423
-0.0136 0.1972 0.2485
-2.1484 1.8984 0.5019
-0.1301 1.8911 2.3830
```

Output
Raw total energy   -17.178 eV/cell
Space-group type   P4mm (99)
DOS(E_F)   0.52 states/eV per atom
Magnetic moment   0.0000 μB per atom
Energy relative to the elements   -51.26 kJ/mol of atoms

Record 7
VASP calculation (GGA-PBE) on a relaxed YZn8Pt4 crystal.

```
YZn8Pt4
1.0
5.1041 0.0000 2.0516
2.5520 6.2074 1.0258
0.2370 0.0000 6.7853
Zn Pt Y
8 4 1
Cartesian
5.8421 4.8637 7.5902
2.0509 1.3437 2.2725
1.7503 4.0578 3.0203
3.2901 1.3437 6.5644
3.5907 4.0578 5.8166
4.3023 2.1496 4.0461
4.6029 4.8637 3.2983
1.0387 2.1496 4.7908
1.2760 3.1037 0.5129
2.6705 0.0000 4.4185
0.1185 0.0000 3.3927
3.8280 3.1037 1.5387
0.0000 0.0000 0.0000
```

Output
Raw total energy   -47.646 eV/cell
Space-group type   I4/mmm (139)
DOS(E_F)   0.47 states/eV per atom
Magnetic moment   0.0000 μB per atom
Energy relative to the elements   -50.67 kJ/mol of atoms

Record 8
VASP calculation (GGA-PBE) on a relaxed YZn3Pt2 crystal.

```
YZn3Pt2
1.0
3.7146 0.0045 1.0302
0.9758 7.1332 3.7738
-0.2215 -0.2018 8.1226
Zn Pt Y
6 4 2
Cartesian
1.9702 6.1987 7.4575
4.2651 4.5320 6.3492
2.4988 0.7372 5.4692
1.4728 3.1532 9.2642
0.2039 2.4039 6.5774
2.9962 3.7827 3.6625
1.8279 0.9772 7.9402
0.9314 2.1610 3.8990
3.5376 4.7749 9.0276
2.6411 5.9587 4.9865
3.3111 0.9500 2.5144
1.1579 5.9859 10.4122
```

Output
Raw total energy   -52.533 eV/cell
Space-group type   C2/m (12)
DOS(E_F)   0.32 states/eV per atom
Magnetic moment   0.0000 μB per atom
Energy relative to the elements   -62.70 kJ/mol of atoms

Record 9
VASP calculation (GGA-PBE) on a relaxed YZn2Pt crystal.

```
YZn2Pt
1.0
4.6874 0.0000 0.0000
0.0000 3.4784 -0.0848
0.0000 0.1687 4.8933
Y Zn Pt
1 2 1
Cartesian
2.3437 2.7353 3.6063
0.0000 0.8460 -0.0084
0.0000 0.9776 2.4126
2.3437 0.9118 1.2021
```

Output
Raw total energy   -17.270 eV/cell
Space-group type   P2/m (10)
DOS(E_F)   0.51 states/eV per atom
Magnetic moment   0.0000 μB per atom
Energy relative to the elements   -53.48 kJ/mol of atoms

Record 10
VASP calculation (GGA-PBE) on a relaxed YZnPt3 crystal.

```
YZnPt3
1.0
4.6609 0.0000 0.0000
0.0000 4.6609 0.0000
0.0000 0.0000 4.6609
Pt Zn Y
3 1 1
Cartesian
0.0000 2.3304 0.0000
2.3304 0.0000 0.0000
0.0000 0.0000 2.3304
0.0000 0.0000 0.0000
2.3304 2.3304 2.3304
```

Output
Raw total energy   -27.127 eV/cell
Space-group type   Pm-3m (221)
DOS(E_F)   0.56 states/eV per atom
Relative energy among the computed polymorphs   507 meV/atom
Magnetic moment   0.0000 μB per atom
Energy relative to the elements   -24.44 kJ/mol of atoms

Record 11
VASP calculation (GGA-PBE) on a relaxed YZn5Pt2 crystal.

```
YZn5Pt2
1.0
3.7423 0.0000 0.0000
1.8711 6.2352 0.1718
1.8711 1.3144 6.0975
Zn Y Pt
5 1 2
Cartesian
3.7422 3.9150 5.1614
3.7423 1.7568 3.3691
3.7422 5.7928 2.9001
3.7423 3.6346 1.1079
1.8711 3.7748 3.1346
0.0000 0.0000 0.0000
1.8711 1.7845 1.4819
5.6134 5.7650 4.7873
```

Output
Raw total energy   -29.187 eV/cell
Space-group type   Immm (71)
DOS(E_F)   0.40 states/eV per atom
Magnetic moment   0.0000 μB per atom
Energy relative to the elements   -51.52 kJ/mol of atoms

Record 12
VASP calculation (GGA-PBE) on a relaxed YZn2Pt crystal.

```
YZn2Pt
1.0
3.9642 0.0000 0.0000
0.0000 3.7582 0.0666
0.0000 1.9251 5.4144
Zn Y Pt
2 1 1
Cartesian
1.9821 2.1584 1.2345
0.0000 0.1917 0.3247
1.9821 4.0147 3.7735
0.0000 2.1602 2.8888
```

Output
Raw total energy   -17.203 eV/cell
Space-group type   Pm (6)
DOS(E_F)   0.41 states/eV per atom
Magnetic moment   0.0000 μB per atom
Energy relative to the elements   -51.86 kJ/mol of atoms

- magnetic moment of number 4 (Y2ZnPt)?
  0.0000 μB per atom

- Among the records above, which one has the highest raw total energy?
  number 6